1.
Here is a geometry-optimized Tb2Pr12Sc structure from Alexandria. Energies are from PBE.

```
data_Tb2Pr12Sc
_space_group_name_H-M_alt 'P 4/n b m'
_space_group_IT_number 125
_cell_length_a 6.6428
_cell_length_b 6.6428
_cell_length_c 25.3172
_cell_angle_alpha 90.00
_cell_angle_beta 90.00
_cell_angle_gamma 90.00
loop_
_space_group_symop_operation_xyz
'x,y,z'
'-x,-y,-z'
'-y+1/2,x,z'
'y+1/2,-x,-z'
'-x+1/2,-y+1/2,z'
'x+1/2,y+1/2,-z'
'y,-x+1/2,z'
'-y,x+1/2,-z'
'x,-y+1/2,-z'
'-x,y+1/2,z'
'-y+1/2,-x+1/2,-z'
'y+1/2,x+1/2,z'
'-x+1/2,y,-z'
'x+1/2,-y,z'
'y,x,-z'
'-y,-x,z'
loop_
_atom_site_label
_atom_site_type_symbol
_atom_site_fract_x
_atom_site_fract_y
_atom_site_fract_z
Tb1 Tb 0.2500 0.7500 0.2326
Pr1 Pr 0.0639 0.5639 0.3931
Pr2 Pr 0.0818 0.5818 0.0635
Pr3 Pr 0.2500 0.2500 0.1658
Pr4 Pr 0.2500 0.2500 0.2902
Sc1 Sc 0.2500 0.7500 0.5000
```

---

2.
Here is a geometry-optimized Tb5Pr2Sc12 structure from Alexandria. Energies are from PBE.

```
data_Tb5Pr2Sc12
_space_group_name_H-M_alt 'C 1 2/m 1'
_space_group_IT_number 12
_cell_length_a 15.0298
_cell_length_b 8.6733
_cell_length_c 8.1792
_cell_angle_alpha 90.00
_cell_angle_beta 92.47
_cell_angle_gamma 90.00
loop_
_space_group_symop_operation_xyz
'x,y,z'
'-x,-y,-z'
'-x,y,-z'
'x,-y,z'
'x+1/2,y+1/2,z'
'-x+1/2,-y+1/2,-z'
'-x+1/2,y+1/2,-z'
'x+1/2,-y+1/2,z'
loop_
_atom_site_label
_atom_site_type_symbol
_atom_site_fract_x
_atom_site_fract_y
_atom_site_fract_z
Tb1 Tb 0.0000 0.0000 0.0000
Tb2 Tb 0.2028 0.5000 0.5030
Tb3 Tb 0.2366 0.0000 0.0800
Pr1 Pr 0.0000 0.3055 0.5000
Sc1 Sc 0.0521 0.5000 0.8336
Sc2 Sc 0.0913 0.0000 0.3807
Sc3 Sc 0.1269 0.3109 0.1501
Sc4 Sc 0.1540 0.1780 0.7524
```

---

3.
# Tb12PrSc7 PBE optimized geometry
# Polymorph energy (0 for the lowest one) = 0.00 kcal/mol of atoms
data_Tb12PrSc7
_space_group_name_H-M_alt 'R -3 m'
_space_group_IT_number 166
_space_group_name_Hall '-R 3 2"'
_cell_length_a 16.2013
_cell_length_b 16.2013
_cell_length_c 8.0051
_cell_angle_alpha 90.00
_cell_angle_beta 90.00
_cell_angle_gamma 120.00
loop_
_atom_site_label
_atom_site_type_symbol
_atom_site_fract_x
_atom_site_fract_y
_atom_site_fract_z
Tb1 Tb 0.0000 0.2833 0.0000
Tb2 Tb 0.1103 0.2207 0.3069
Pr1 Pr 0.0000 0.0000 0.0000
Sc1 Sc 0.0000 0.0000 0.5000
Sc2 Sc 0.1082 0.5541 0.3907

---

Results for total magnetic moment: 0.0; 0.0; 0.0 (in μB per cell, following the order of the records).
Results for ΔH_f (0 K): 0.34; 0.14; 0.25 (in eV per atom, following the order of the records).